Cd2Ge2Br | PBEsol | relaxed

The structure in extended XYZ format:
```
10
Lattice="4.776 0.000 0.000 0.000 4.776 0.000 0.000 0.000 10.245" Properties=species:S:1:pos:R:3 pbc="T T T"
Cd 0.000 2.388 2.561
Cd 0.000 2.388 7.684
Cd 2.388 0.000 2.561
Cd 2.388 0.000 7.684
Ge 0.000 0.000 1.201
Ge 0.000 0.000 9.044
Ge 2.388 2.388 3.922
Ge 2.388 2.388 6.323
Br 0.000 0.000 5.122
Br 2.388 2.388 0.000
```

Properties
DFT total energy = -2.69 eV per atom
Space-group type = I4/mmm, No. 139
Uncorrected formation energy = 138.4 meV per atom



ReTc5 | PBEsol | relaxed

The structure in extended XYZ format:
```
12
Lattice="9.938 0.000 0.000 0.000 2.723 0.000 -1.598 0.000 6.236" Properties=species:S:1:pos:R:3 pbc="T T T"
Re 0.000 0.000 0.000
Re 4.969 1.362 0.000
Tc -0.410 0.000 3.817
Tc 1.129 1.362 2.089
Tc 0.707 1.362 5.897
Tc 2.244 0.000 4.161
Tc 3.416 0.000 1.755
Tc 4.559 1.362 3.817
Tc 6.098 0.000 2.089
Tc 5.676 0.000 5.897
Tc 7.213 1.362 4.161
Tc 8.385 1.362 1.755
```

Properties
DFT total energy = -11.61 eV per atom
Space-group type = Cm, No. 8
Distance to the lowest polymorph of the same formula = 0.0 kJ/mol of atoms
Energy relative to the elements = -0.002 eV/atom